An optimized crystal structure of Er4Zn. Source: Alexandria, functional PBE.

Output
The density of states at the Fermi level is 7.22 states/eV per cell. Its formation energy is 0.219 eV/atom.

Lattice parameters (Å, degrees): 5.4026 5.4026 5.4026 90.00 90.00 90.00
Closest atoms and distances in Å follow each position.
Atoms (fractional coordinates):
Zn (0.5000, 0.5000, 0.5000)  6 Er 2.70
Er (0.0000, 0.0000, 0.0000)  12 Er 3.82
Er (0.5000, 0.5000, 0.0000)  2 Zn 2.70
Er (0.0000, 0.5000, 0.5000)  2 Zn 2.70
Er (0.5000, 0.0000, 0.5000)  2 Zn 2.70